(1)
! Sm2SeBr2 PBE optimized geometry; values from VASP
&SYSTEM
  ibrav = 0, nat = 5, ntyp = 3
/
ATOMIC_SPECIES
Sm 150.36 Sm.upf
Se 78.96 Se.upf
Br 79.90 Br.upf
CELL_PARAMETERS angstrom
3.611 -2.086 0.000
3.611 2.086 0.000
-2.665 0.000 11.131
ATOMIC_POSITIONS angstrom
Sm 1.203 0.000 1.567
Sm 3.354 0.000 9.563
Se 3.611 0.000 0.000
Br -1.460 0.000 7.736
Br 6.016 0.000 3.394
! - Symmetry: No. 12
! - VASP energy: -5.03 eV/atom
! - Formation energy (no corrections): -1.78 eV per atom

(2)
! CeCuNi4 PBE optimized geometry; values from VASP
&SYSTEM
  ibrav = 0, nat = 6, ntyp = 3
/
ATOMIC_SPECIES
Ce 140.12 Ce.upf
Cu 63.55 Cu.upf
Ni 58.69 Ni.upf
CELL_PARAMETERS angstrom
0.000 3.453 3.453
3.453 0.000 3.453
3.453 3.453 0.000
ATOMIC_POSITIONS angstrom
Ce 0.000 0.000 0.000
Cu 1.727 1.727 1.727
Ni 4.308 2.598 2.598
Ni 2.598 4.308 2.598
Ni 2.598 2.598 4.308
Ni 4.308 4.308 4.308
! - Symmetry: No. 216
! - VASP energy: -5.82 eV/atom
! - Excess energy over the best structure of this formula in the dataset: 0 meV per atom
! - Energy relative to the elements: -6.89 kcal/mol of atoms

(3)
! IrRuRh PBE optimized geometry; values from VASP
&SYSTEM
  ibrav = 0, nat = 3, ntyp = 3
/
ATOMIC_SPECIES
Ir 192.22 Ir.upf
Ru 101.07 Ru.upf
Rh 102.91 Rh.upf
CELL_PARAMETERS angstrom
4.342 0.000 0.000
-2.171 3.760 0.000
0.000 0.000 2.677
ATOMIC_POSITIONS angstrom
Ir 0.000 0.000 0.000
Ru 0.000 2.507 1.339
Rh 2.171 1.253 0.000
! - Symmetry: No. 187
! - VASP energy: -8.25 eV/atom
! - Excess energy over the best structure of this formula in the dataset: 264 meV per atom
! - Energy relative to the elements: 5.70 kcal/mol of atoms

(4)
! Cs4Tl2H PBE optimized geometry; values from VASP
&SYSTEM
  ibrav = 0, nat = 7, ntyp = 3
/
ATOMIC_SPECIES
Cs 132.91 Cs.upf
Tl 204.38 Tl.upf
H 1.01 H.upf
CELL_PARAMETERS angstrom
-3.042 3.042 10.194
3.042 -3.042 10.194
3.042 3.042 -10.194
ATOMIC_POSITIONS angstrom
Cs 3.042 0.000 0.000
Cs 0.000 0.000 3.435
Cs 0.000 3.042 0.000
Cs 0.000 0.000 16.953
Tl 0.000 0.000 7.473
Tl 0.000 0.000 12.915
H 0.000 0.000 0.000
! - Symmetry: No. 139
! - VASP energy: -1.58 eV/atom